# 1
# CaHgSb3

A geometry-optimized CaHgSb3 structure (GGA-PBE, Alexandria via LeMat-Bulk).

Summary:
Crystal system: cubic
Formation energy (no corrections): 0.523 eV/atom
V: 38.2 Å³/atom
Raw total energy: -2.41 eV/atom

Lattice parameters (Å, degrees): 5.7576 5.7576 5.7576 90.00 90.00 90.00
Sites, in units of the cell vectors:
Sb: 0.0000 0.0000 0.5000
Sb: 0.0000 0.5000 0.0000
Sb: 0.5000 0.0000 0.0000
Hg: 0.5000 0.5000 0.5000
Ca: 0.0000 0.0000 0.0000



# 2
# Rb2SbTe

A geometry-optimized Rb2SbTe structure (GGA-PBE, Alexandria via LeMat-Bulk).

Summary:
Crystal system: cubic
Formation energy (no corrections): -0.230 eV/atom
V: 40.6 Å³/atom
Raw total energy: -2.53 eV/atom

Lattice parameters (Å, degrees): 6.1220 6.1220 6.1220 60.00 60.00 60.00
Sites, in units of the cell vectors:
Rb: 0.2500 0.2500 0.2500
Rb: 0.7500 0.7500 0.7500
Te: 0.5000 0.5000 0.5000
Sb: 0.0000 0.0000 0.0000



# 3
# Cs2AuI

A geometry-optimized Cs2AuI structure (GGA-PBE, Alexandria via LeMat-Bulk).

Summary:
Crystal system: orthorhombic
Formation energy (no corrections): -0.931 eV/atom
V: 55.9 Å³/atom
Raw total energy: -2.56 eV/atom

Lattice parameters (Å, degrees): 5.3797 7.6662 10.8371 90.00 90.00 90.00
Sites, in units of the cell vectors:
Au: 0.5000 0.0000 0.6215
Au: 0.0000 0.5000 0.3785
Cs: 0.0000 0.0000 0.3841
Cs: 0.5000 0.5000 0.6159
Cs: 0.0000 0.0000 0.8634
Cs: 0.5000 0.5000 0.1366
I: 0.0000 0.5000 0.8742
I: 0.5000 0.0000 0.1258



# 4
# PuSbHRh

A geometry-optimized PuSbHRh structure (GGA-PBE, Alexandria via LeMat-Bulk).

Summary:
Crystal system: hexagonal
V: 17.1 Å³/atom
Raw total energy: -7.86 eV/atom

Lattice parameters (Å, degrees): 4.6347 4.6343 3.6787 90.00 90.00 120.00
Sites, in units of the cell vectors:
H: 0.2386 0.4773 0.3094
Sb: 0.9052 0.8105 0.8101
Rh: 0.2386 0.4772 0.8096
Pu: 0.5719 0.1437 0.3101



# 5
# YMgSc2Co

A geometry-optimized YMgSc2Co structure (GGA-PBE, Alexandria via LeMat-Bulk).

Summary:
Crystal system: tetragonal
Formation energy: -0.039 eV per atom
V: 25.0 Å³/atom
Raw total energy: -5.60 eV/atom

Lattice parameters (Å, degrees): 4.8902 4.8902 5.2181 90.00 90.00 90.00
Sites, in units of the cell vectors:
Mg: 0.5000 0.5000 0.5000
Sc: 0.0000 0.5000 0.0000
Sc: 0.5000 0.0000 0.0000
Co: 0.0000 0.0000 0.0000
Y: 0.0000 0.0000 0.5000



# 6
# CaHfH

A geometry-optimized CaHfH structure (GGA-PBE, Alexandria via LeMat-Bulk).

Summary:
Crystal system: orthorhombic
V: 18.3 Å³/atom
Raw total energy: -4.99 eV/atom

Lattice parameters (Å, degrees): 3.3005 3.2992 11.6665 90.00 90.00 120.01
Sites, in units of the cell vectors:
H: 0.2787 0.5574 0.5000
H: 0.6103 0.2206 0.0000
Ca: 0.2772 0.5545 0.8567
Ca: 0.2772 0.5545 0.1433
Hf: 0.6116 0.2231 0.3756
Hf: 0.6116 0.2231 0.6244



# 7
# SrCaPb

A geometry-optimized SrCaPb structure (GGA-PBE, Alexandria via LeMat-Bulk).

Summary:
Crystal system: trigonal
Formation energy: -0.373 eV per atom
V: 36.8 Å³/atom
Raw total energy: -2.84 eV/atom

Lattice parameters (Å, degrees): 5.5834 5.5834 4.0844 90.00 90.00 120.00
Sites, in units of the cell vectors:
Pb: 0.6667 0.3333 0.1694
Sr: 0.3333 0.6667 0.6661
Ca: 0.0000 0.0000 0.1646



# 8
# U2Si4NiOs3

A geometry-optimized U2Si4NiOs3 structure (GGA-PBE, Alexandria via LeMat-Bulk).

Summary:
Crystal system: tetragonal
Formation energy (no corrections): -0.441 eV/atom
V: 16.2 Å³/atom
Raw total energy: -8.81 eV/atom

Lattice parameters (Å, degrees): 3.9833 3.9833 10.1921 90.00 90.00 90.00
Sites, in units of the cell vectors:
Si: 0.0000 0.5000 0.3734
Si: 0.0000 0.0000 0.0000
Si: 0.5000 0.5000 0.0000
Si: 0.5000 0.0000 0.6266
Os: 0.5000 0.0000 0.8599
Os: 0.0000 0.0000 0.5000
Os: 0.0000 0.5000 0.1401
U: 0.0000 0.5000 0.7535
U: 0.5000 0.0000 0.2465
Ni: 0.5000 0.5000 0.5000